Here is CrBi2PbO6 after structural relaxation from Alexandria via LeMat-Bulk. Energies are from PBE+U.

Results
Magnetic moment, μB per cell: 2.05
Total DFT energy (no corrections), eV per formula unit: -61.23
D(E_F), states/eV/atom: 0.176
Space group: P1 (1)

Cell lengths 5.904, 5.906, 6.008 Å; angles 60.58, 60.53, 59.93 degrees
Site moments in Bohr magnetons follow the coordinates.
Atoms (fractional coordinates):
Cr 0.818 0.819 0.544  2.88
Bi 0.521 0.521 0.436  0.02
Bi 0.031 0.030 0.910  0.03
Pb 0.300 0.300 0.099  -0.16
O 0.642 0.159 0.270  -0.14
O 0.159 0.929 0.269  -0.14
O 0.929 0.644 0.269  -0.14
O 0.483 0.688 0.740  -0.10
O 0.688 0.089 0.739  -0.10
O 0.089 0.484 0.739  -0.10